No. 1
Entry from Alexandria via LeMat-Bulk: crystalline RbVSbI2 at its relaxed geometry (PBE).

Its space-group type is P4/mmm. For the uncorrected formation energy, the calculation gives -0.343 eV per atom.

a b c (Å): 5.890 5.890 5.243
angles (deg): 90.00 90.00 90.00
Fractional positions:
Rb 0.000 0.000 0.000
V 0.500 0.500 0.500
Sb 0.500 0.500 0.000
I 0.000 0.500 0.500
I 0.500 0.000 0.500

***

No. 2
Entry from Alexandria via LeMat-Bulk: crystalline Rb2VSbI6 at its relaxed geometry (PBE).

Its space-group type is I4/mmm. For the uncorrected formation energy, the calculation gives -0.668 eV per atom.

a b c (Å): 8.462 8.462 8.462
angles (deg): 120.06 120.06 89.90
Fractional positions:
Rb 0.250 0.750 0.500
Rb 0.750 0.250 0.500
V 0.000 0.000 0.000
Sb 0.500 0.500 0.000
I 0.240 0.240 0.000
I 0.241 0.241 0.481
I 0.241 0.759 0.000
I 0.759 0.241 0.000
I 0.759 0.759 0.519
I 0.760 0.760 0.000

***

No. 3
Entry from Alexandria via LeMat-Bulk: crystalline Rb2SbWI6 at its relaxed geometry (PBE).

Its space-group type is I4/mmm. For the uncorrected formation energy, the calculation gives -0.386 eV per atom.

a b c (Å): 8.531 8.531 8.531
angles (deg): 119.50 119.50 90.87
Fractional positions:
Rb 0.250 0.750 0.500
Rb 0.750 0.250 0.500
Sb 0.000 0.000 0.000
W 0.500 0.500 0.000
I 0.262 0.262 0.000
I 0.266 0.266 0.532
I 0.266 0.734 0.000
I 0.734 0.266 0.000
I 0.734 0.734 0.468
I 0.738 0.738 0.000

***

No. 4
Entry from Alexandria via LeMat-Bulk: crystalline RbSbWI2 at its relaxed geometry (PBE).

Its space-group type is P4/mmm. For the uncorrected formation energy, the calculation gives 0.106 eV per atom.

a b c (Å): 5.961 5.961 5.240
angles (deg): 90.00 90.00 90.00
Fractional positions:
Rb 0.000 0.000 0.000
Sb 0.500 0.500 0.000
W 0.500 0.500 0.500
I 0.000 0.500 0.500
I 0.500 0.000 0.500

***

No. 5
Entry from Alexandria via LeMat-Bulk: crystalline RbSbWI2 at its relaxed geometry (PBE).

Its space-group type is P4/mmm. For the uncorrected formation energy, the calculation gives 1.678 eV per atom.

a b c (Å): 6.674 6.674 6.901
angles (deg): 90.00 90.00 90.00
Fractional positions:
Rb 0.000 0.000 0.000
Sb 0.000 0.000 0.500
W 0.500 0.500 0.500
I 0.000 0.500 0.000
I 0.500 0.000 0.000

***

No. 6
Entry from Alexandria via LeMat-Bulk: crystalline RbSb2WI at its relaxed geometry (PBE).

Its space-group type is P4/mmm. For the uncorrected formation energy, the calculation gives 2.502 eV per atom.

a b c (Å): 5.976 5.976 5.998
angles (deg): 90.00 90.00 90.00
Fractional positions:
Rb 0.000 0.000 0.000
Sb 0.000 0.500 0.000
Sb 0.500 0.000 0.000
W 0.500 0.500 0.500
I 0.000 0.000 0.500

***

No. 7
Entry from Alexandria via LeMat-Bulk: crystalline RbSb2WI at its relaxed geometry (PBE).

Its space-group type is P4/mmm. For the uncorrected formation energy, the calculation gives 0.145 eV per atom.

a b c (Å): 5.238 5.238 6.359
angles (deg): 90.00 90.00 90.00
Fractional positions:
Rb 0.000 0.000 0.000
Sb 0.000 0.500 0.500
Sb 0.500 0.000 0.500
W 0.500 0.500 0.500
I 0.500 0.500 0.000

***

No. 8
Entry from Alexandria via LeMat-Bulk: crystalline RbYSb2I at its relaxed geometry (PBE).

Its space-group type is P4/mmm. For the uncorrected formation energy, the calculation gives 0.739 eV per atom.

a b c (Å): 5.877 5.877 6.089
angles (deg): 90.00 90.00 90.00
Fractional positions:
Rb 0.000 0.000 0.000
Y 0.500 0.500 0.500
Sb 0.000 0.500 0.000
Sb 0.500 0.000 0.000
I 0.000 0.000 0.500

***

| no. | density (g cm⁻³) | total energy (eV/atom) | M_tot (μB per cell) |
| --- | --- | --- | --- |
| 1 | 4.7 | -3.805 | 1.31 |
| 2 | 4.3 | -3.115 | 4.00 |
| 3 | 4.6 | -3.218 | 4.99 |
| 4 | 5.8 | -4.123 | 1.90 |
| 5 | 3.5 | -2.551 | 2.16 |
| 6 | 5.0 | -2.241 | 0.91 |
| 7 | 6.1 | -4.598 | 0.66 |
| 8 | 4.3 | -2.706 | 0.00 |